(1)
A relaxed structure of FeHSCl2, computed with PBE.

Properties
- ΔE to the lowest computed polymorph: 45 meV/atom
- M_tot: 4.44 μB per formula unit
- Total energy: -3.3444 eV per atom

a b c (Å): 4.984 4.984 3.229
angles (deg): 90.00 90.00 90.00
Each line ends with the local moment (μB).
Atoms (fractional coordinates):
H  0.000  0.000  0.000  0.00
Fe  0.500  0.500  0.500  3.35
Cl  0.000  0.500  0.000  0.14
S  0.000  0.000  0.500  0.44
Cl  0.500  0.000  0.000  0.14


(2)
A relaxed structure of FeH2SeCl, computed with PBE.

Properties
- M_tot: 3.76 μB per formula unit
- Total energy: -3.4447 eV per atom

a b c (Å): 3.661 3.661 5.467
angles (deg): 90.00 90.00 90.00
Each line ends with the local moment (μB).
Atoms (fractional coordinates):
Cl  0.000  0.000  0.500  0.07
H  0.000  0.500  0.000  -0.02
H  0.500  0.000  0.000  -0.02
Se  0.500  0.500  0.500  0.17
Fe  0.000  0.000  0.000  3.30


(3)
A relaxed structure of HfFeCl2, computed with PBE.

Properties
- ΔE to the lowest computed polymorph: 631 meV/atom
- Formation energy (no corrections): 284 meV per atom
- M_tot: 0.00 μB per formula unit
- Total energy: -5.2433 eV per atom

a b c (Å): 4.379 4.379 4.379
angles (deg): 60.00 60.00 60.00
Atoms (fractional coordinates):
Cl  0.750  0.750  0.750
Cl  0.250  0.250  0.250
Hf  0.500  0.500  0.500
Fe  0.000  0.000  0.000


(4)
A relaxed structure of Hf2FeCl, computed with PBE.

Properties
- ΔE to the lowest computed polymorph: 0 meV/atom
- Formation energy (no corrections): 135 meV per atom
- M_tot: 0.08 μB per formula unit
- Total energy: -7.4190 eV per atom

a b c (Å): 4.597 4.597 4.597
angles (deg): 60.00 60.00 60.00
Each line ends with the local moment (μB).
Atoms (fractional coordinates):
Hf  0.250  0.250  0.250  -0.01
Hf  0.750  0.750  0.750  -0.01
Cl  0.000  0.000  0.000  0.00
Fe  0.500  0.500  0.500  0.08


(5)
A relaxed structure of Hf2FeCl, computed with PBE.

Properties
- ΔE to the lowest computed polymorph: 157 meV/atom
- Formation energy (no corrections): 292 meV per atom
- M_tot: 0.00 μB per formula unit
- Total energy: -7.2617 eV per atom

a b c (Å): 5.524 5.524 7.280
angles (deg): 67.70 67.70 90.00
Atoms (fractional coordinates):
Hf  0.875  0.930  0.750
Fe  0.750  0.250  0.500
Cl  0.250  0.750  0.500
Hf  0.070  0.625  0.250
Hf  0.375  0.320  0.750
Hf  0.680  0.125  0.250
Cl  0.500  0.500  0.000
Fe  0.000  0.000  0.000


(6)
A relaxed structure of Hf3FeCl, computed with PBE.

Properties
- ΔE to the lowest computed polymorph: 0 meV/atom
- Formation energy (no corrections): 296 meV per atom
- M_tot: 0.00 μB per formula unit
- Total energy: -7.7381 eV per atom

a b c (Å): 4.840 4.840 4.840
angles (deg): 90.00 90.00 90.00
Atoms (fractional coordinates):
Cl  0.500  0.500  0.500
Fe  0.000  0.000  0.000
Hf  0.000  0.000  0.500
Hf  0.000  0.500  0.000
Hf  0.500  0.000  0.000


(7)
A relaxed structure of HfFeCl2, computed with PBE.

Properties
- ΔE to the lowest computed polymorph: 503 meV/atom
- Formation energy (no corrections): 157 meV per atom
- M_tot: 0.49 μB per formula unit
- Total energy: -5.3708 eV per atom

a b c (Å): 5.649 5.649 6.389
angles (deg): 63.76 63.76 90.00
Each line ends with the local moment (μB).
Atoms (fractional coordinates):
Fe  0.250  0.750  0.500  1.98
Cl  0.167  0.625  0.250  0.00
Fe  0.500  0.500  0.000  1.99
Cl  0.583  0.125  0.250  0.00
Hf  0.750  0.250  0.500  -0.80
Cl  0.875  0.833  0.750  0.00
Hf  0.000  0.000  0.000  -0.80
Cl  0.375  0.417  0.750  0.00


(8)
A relaxed structure of HfFeCl2, computed with PBE.

Properties
- ΔE to the lowest computed polymorph: 0 meV/atom
- Formation energy (no corrections): -347 meV per atom
- M_tot: 3.13 μB per formula unit
- Total energy: -5.8742 eV per atom

a b c (Å): 9.198 9.198 9.198
angles (deg): 19.64 19.64 19.64
Each line ends with the local moment (μB).
Atoms (fractional coordinates):
Cl  0.097  0.097  0.097  0.02
Cl  0.903  0.903  0.903  0.02
Hf  0.500  0.500  0.500  -0.03
Fe  0.000  0.000  0.000  3.14


(9)
A relaxed structure of LaHf2FeCl, computed with PBE.

Properties
- Formation energy (no corrections): 333 meV per atom
- M_tot: 0.00 μB per formula unit
- Total energy: -6.6954 eV per atom

a b c (Å): 4.611 4.611 6.094
angles (deg): 90.00 90.00 90.00
Atoms (fractional coordinates):
Cl  0.000  0.000  0.500
Hf  0.500  0.000  0.000
La  0.500  0.500  0.500
Fe  0.000  0.000  0.000
Hf  0.000  0.500  0.000


(10)
A relaxed structure of LiHfFeCl2, computed with PBE.

Properties
- Formation energy (no corrections): 326 meV per atom
- M_tot: 3.13 μB per formula unit
- Total energy: -4.4786 eV per atom

a b c (Å): 4.789 6.302 4.789
angles (deg): 90.00 90.00 90.00
Each line ends with the local moment (μB).
Atoms (fractional coordinates):
Fe  0.500  0.500  0.500  3.38
Li  0.000  0.500  0.000  -0.02
Cl  0.000  0.000  0.500  0.01
Cl  0.500  0.000  0.000  0.02
Hf  0.000  0.000  0.000  -0.23


(11)
A relaxed structure of HfFeOsCl2, computed with PBE.

Properties
- Formation energy (no corrections): 1158 meV per atom
- M_tot: 5.68 μB per formula unit
- Total energy: -5.5095 eV per atom

a b c (Å): 4.743 5.373 4.743
angles (deg): 90.00 90.00 90.00
Each line ends with the local moment (μB).
Atoms (fractional coordinates):
Hf  0.000  0.000  0.000  -0.39
Fe  0.000  0.500  0.000  2.86
Cl  0.500  0.000  0.000  0.04
Cl  0.000  0.000  0.500  0.04
Os  0.500  0.500  0.500  2.80


(12)
A relaxed structure of HfFeP2Cl, computed with PBE.

Properties
- ΔE to the lowest computed polymorph: 139 meV/atom
- Formation energy (no corrections): 378 meV per atom
- M_tot: 3.82 μB per formula unit
- Total energy: -5.8384 eV per atom

a b c (Å): 5.016 5.016 4.837
angles (deg): 90.00 90.00 90.00
Each line ends with the local moment (μB).
Atoms (fractional coordinates):
Hf  0.000  0.000  0.000  0.03
P  0.500  0.000  0.000  0.01
Fe  0.500  0.500  0.500  3.42
Cl  0.000  0.000  0.500  0.03
P  0.000  0.500  0.000  0.01


(13)
A relaxed structure of HfFeP2Cl, computed with PBE.

Properties
- ΔE to the lowest computed polymorph: 0 meV/atom
- Formation energy (no corrections): 239 meV per atom
- M_tot: 1.67 μB per formula unit
- Total energy: -5.9778 eV per atom

a b c (Å): 4.383 4.383 4.530
angles (deg): 90.00 90.00 90.00
Each line ends with the local moment (μB).
Atoms (fractional coordinates):
P  0.000  0.500  0.000  0.00
P  0.500  0.000  0.000  0.00
Fe  0.000  0.000  0.000  1.43
Cl  0.000  0.000  0.500  0.01
Hf  0.500  0.500  0.500  0.12


(14)
A relaxed structure of HfFeSCl2, computed with PBE.

Properties
- ΔE to the lowest computed polymorph: 386 meV/atom
- Formation energy (no corrections): 109 meV per atom
- M_tot: 0.00 μB per formula unit
- Total energy: -5.1389 eV per atom

a b c (Å): 4.376 4.376 4.583
angles (deg): 90.00 90.00 90.00
Atoms (fractional coordinates):
Cl  0.000  0.500  0.000
Hf  0.500  0.500  0.500
Fe  0.000  0.000  0.000
S  0.000  0.000  0.500
Cl  0.500  0.000  0.000


(15)
A relaxed structure of HfFeSCl2, computed with PBE.

Properties
- ΔE to the lowest computed polymorph: 0 meV/atom
- Formation energy (no corrections): -277 meV per atom
- M_tot: 4.41 μB per formula unit
- Total energy: -5.5249 eV per atom

a b c (Å): 5.004 5.004 4.932
angles (deg): 90.00 90.00 90.00
Each line ends with the local moment (μB).
Atoms (fractional coordinates):
S  0.000  0.000  0.500  0.03
Fe  0.500  0.500  0.500  3.58
Hf  0.000  0.000  0.000  0.04
Cl  0.000  0.500  0.000  0.02
Cl  0.500  0.000  0.000  0.02


(16)
A relaxed structure of HfFe2SeCl, computed with PBE.

Properties
- Formation energy (no corrections): 855 meV per atom
- M_tot: 4.81 μB per formula unit
- Total energy: -5.5870 eV per atom

a b c (Å): 4.932 4.707 4.932
angles (deg): 90.00 90.00 90.00
Each line ends with the local moment (μB).
Atoms (fractional coordinates):
Hf  0.000  0.000  0.000  -0.53
Fe  0.500  0.000  0.000  2.56
Se  0.500  0.500  0.500  0.00
Cl  0.000  0.500  0.000  0.02
Fe  0.000  0.000  0.500  2.64


(17)
A relaxed structure of YHfFe2Cl, computed with PBE.

Properties
- Formation energy (no corrections): 1951 meV per atom
- M_tot: 0.00 μB per formula unit
- Total energy: -5.0868 eV per atom

a b c (Å): 4.493 5.853 4.493
angles (deg): 90.00 90.00 90.00
Atoms (fractional coordinates):
Hf  0.000  0.500  0.000
Cl  0.500  0.500  0.500
Y  0.000  0.000  0.000
Fe  0.500  0.000  0.000
Fe  0.000  0.000  0.500


(18)
A relaxed structure of FeHgCl2, computed with PBE.

Properties
- ΔE to the lowest computed polymorph: 480 meV/atom
- Formation energy (no corrections): -37 meV per atom
- M_tot: 3.58 μB per formula unit
- Total energy: -3.1519 eV per atom

a b c (Å): 3.210 3.210 8.321
angles (deg): 90.00 90.00 90.00
Each line ends with the local moment (μB).
Atoms (fractional coordinates):
Hg  0.500  0.500  0.733  0.01
Cl  0.500  0.500  0.334  0.16
Fe  0.000  0.000  0.487  3.26
Cl  0.000  0.000  0.946  0.04


(19)
A relaxed structure of FeHgCl2, computed with PBE.

Properties
- ΔE to the lowest computed polymorph: 0 meV/atom
- Formation energy (no corrections): -517 meV per atom
- M_tot: 3.97 μB per formula unit
- Total energy: -3.6318 eV per atom

a b c (Å): 3.502 3.502 10.205
angles (deg): 81.25 81.25 60.00
Each line ends with the local moment (μB).
Atoms (fractional coordinates):
Fe  0.750  0.750  0.750  3.49
Hg  0.250  0.250  0.250  0.00
Cl  0.042  0.042  0.890  0.15
Cl  0.458  0.458  0.610  0.15


(20)
A relaxed structure of FeHgCl2, computed with PBE.

Properties
- ΔE to the lowest computed polymorph: 751 meV/atom
- Formation energy (no corrections): 233 meV per atom
- M_tot: 3.49 μB per formula unit
- Total energy: -2.8811 eV per atom

a b c (Å): 4.928 4.928 4.928
angles (deg): 60.00 60.00 60.00
Each line ends with the local moment (μB).
Atoms (fractional coordinates):
Cl  0.750  0.750  0.750  0.04
Cl  0.250  0.250  0.250  0.04
Fe  0.000  0.000  0.000  3.23
Hg  0.500  0.500  0.500  0.04